(1)
Lu2GaAg: PBEsol geometry, SCAN.

Summary:
The value obtained for the density of states at the Fermi level is 5.90 states/eV per cell. Its formation energy is -0.554 eV/atom. The calculation puts the calculated total energy at -40.154 eV per atom.

a = 6.9513 Å, b = 6.9513 Å, c = 6.9513 Å
α = 90.00°, β = 90.00°, γ = 90.00°
With the nearest neighbours (Å) after each atom.
Space group Fm-3m (No. 225)
One atom of each set of equivalent atoms:
Lu  0.2500  0.2500  0.2500 x8  4 Ga 3.01, 4 Ag 3.01
Ga  0.0000  0.0000  0.0000 x4  8 Lu 3.01
Ag  0.0000  0.0000  0.5000 x4  8 Lu 3.01

=====

(2)
AlPt2Rh: PBEsol geometry, SCAN.

Summary:
The value obtained for the density of states at the Fermi level is 7.22 states/eV per cell. Its formation energy is -0.656 eV/atom. The calculation puts the calculated total energy at -46.134 eV per atom.

a = 9.0927 Å, b = 2.7782 Å, c = 4.6519 Å
α = 90.00°, β = 104.46°, γ = 90.00°
With the nearest neighbours (Å) after each atom.
Space group Cm (No. 8)
One atom of each set of equivalent atoms:
Al  0.0000  0.0000  0.0000 x2  2 Rh 2.55, 7 Pt 2.59-2.86, 2 Al 2.78
Pt  0.0053  0.5000  0.5068 x2  4 Al 2.69-2.73, 3 Rh 2.69-2.75, 5 Pt 2.72-2.80
Pt  0.2391  0.5000  0.2383 x2  3 Al 2.59-2.86, 4 Rh 2.71-2.73, 5 Pt 2.72-2.80
Rh  0.2669  0.0000  0.7534 x2  2 Al 2.55, 7 Pt 2.69-2.75, 2 Rh 2.78

=====

(3)
CsAlIr3: PBEsol geometry, SCAN.

Summary:
For the distance to the lowest polymorph of the same formula, the calculation gives 0.0 meV per atom. The value obtained for the density of states at the Fermi level is 4.19 states/eV per cell. Its formation energy is 1.287 eV/atom. The calculation puts the calculated total energy at -50.485 eV per atom.

a = 4.6587 Å, b = 4.6587 Å, c = 4.6587 Å
α = 90.00°, β = 90.00°, γ = 90.00°
With the nearest neighbours (Å) after each atom.
Space group Pm-3m (No. 221)
One atom of each set of equivalent atoms:
Cs  0.0000  0.0000  0.0000 x1  12 Ir 3.29
Al  0.5000  0.5000  0.5000 x1  6 Ir 2.33
Ir  0.0000  0.5000  0.5000 x3  2 Al 2.33

=====

(4)
MgGeAs3: PBEsol geometry, SCAN.

Summary:
The value obtained for the density of states at the Fermi level is 4.59 states/eV per cell. Its formation energy is 0.654 eV/atom. The calculation puts the calculated total energy at -16.272 eV per atom.

a = 4.8930 Å, b = 4.8930 Å, c = 4.8930 Å
α = 90.00°, β = 90.00°, γ = 90.00°
With the nearest neighbours (Å) after each atom.
Space group Pm-3m (No. 221)
One atom of each set of equivalent atoms:
Mg  0.0000  0.0000  0.0000 x1  12 As 3.46
Ge  0.5000  0.5000  0.5000 x1  6 As 2.45
As  0.0000  0.5000  0.5000 x3  2 Ge 2.45

=====

(5)
SrMg2Ir: PBEsol geometry, SCAN.

Summary:
The value obtained for the density of states at the Fermi level is 8.00 states/eV per cell. Its formation energy is 0.006 eV/atom. The calculation puts the calculated total energy at -25.824 eV per atom.

a = 6.9941 Å, b = 6.9941 Å, c = 6.9941 Å
α = 90.00°, β = 90.00°, γ = 90.00°
With the nearest neighbours (Å) after each atom.
Space group F-43m (No. 216)
One atom of each set of equivalent atoms:
Sr  0.0000  0.0000  0.0000 x4  4 Mg 3.03, 4 Ir 3.03
Mg  0.0000  0.0000  0.5000 x4  4 Ir 3.03, 4 Mg 3.03
Mg  0.2500  0.2500  0.7500 x4  4 Mg 3.03, 4 Sr 3.03
Ir  0.2500  0.2500  0.2500 x4  4 Mg 3.03, 4 Sr 3.03

=====

(6)
SrLiPt4: PBEsol geometry, SCAN.

Summary:
The value obtained for the density of states at the Fermi level is 5.52 states/eV per cell. Its formation energy is -0.805 eV/atom. The calculation puts the calculated total energy at -51.711 eV per atom.

a = 7.5633 Å, b = 7.5633 Å, c = 7.5633 Å
α = 90.00°, β = 90.00°, γ = 90.00°
With the nearest neighbours (Å) after each atom.
Space group F-43m (No. 216)
One atom of each set of equivalent atoms:
Sr  0.0000  0.0000  0.0000 x4  12 Pt 3.14, 4 Li 3.28
Li  0.2500  0.2500  0.2500 x4  12 Pt 3.13, 4 Sr 3.28
Pt  0.1246  0.1246  0.6246 x16  6 Pt 2.66-2.68

=====

(7)
CeAgSb2: PBEsol geometry, SCAN.

Summary:
As for the formation energy without anion corrections: -732 meV/atom. The value obtained for the density of states at the Fermi level is 8.61 states/eV per cell. The calculation puts the calculated total energy at -38.345 eV per atom.

a = 4.3465 Å, b = 4.3465 Å, c = 10.1674 Å
α = 90.00°, β = 90.00°, γ = 90.00°
With the nearest neighbours (Å) after each atom.
Space group P4/nmm (No. 129, origin choice 2)
One atom of each set of equivalent atoms:
Ce  0.2500  0.2500  0.2378 x2  8 Sb 3.18-3.25, 4 Ag 3.44
Ag  0.2500  0.7500  0.5000 x2  4 Sb 2.86, 4 Ag 3.07
Sb  0.2500  0.2500  0.6821 x2  4 Ag 2.86, 4 Ce 3.18
Sb  0.2500  0.7500  0.0000 x2  4 Sb 3.07, 4 Ce 3.25

=====

(8)
Li2ZnPb: PBEsol geometry, SCAN.

Summary:
The value obtained for the density of states at the Fermi level is 1.14 states/eV per cell. Its formation energy is -0.185 eV/atom. The calculation puts the calculated total energy at -23.704 eV per atom.

a = 3.4832 Å, b = 3.4832 Å, c = 6.1677 Å
α = 90.00°, β = 90.00°, γ = 90.00°
With the nearest neighbours (Å) after each atom.
Space group P4mm (No. 99)
One atom of each set of equivalent atoms:
Li  0.0000  0.0000  0.0000 x1  4 Zn 2.74, 4 Li 2.92, 1 Pb 2.98
Li  0.5000  0.5000  0.2557 x1  1 Zn 2.78, 4 Li 2.92, 4 Pb 2.94
Zn  0.5000  0.5000  0.8052 x1  5 Li 2.74-2.78, 4 Pb 3.04
Pb  0.0000  0.0000  0.5164 x1  6 Li 2.94-3.19, 4 Zn 3.04

=====

(9)
Sr2MgAg2: PBEsol geometry, SCAN.

Summary:
The value obtained for the density of states at the Fermi level is 5.17 states/eV per cell. Its formation energy is -0.268 eV/atom. The calculation puts the calculated total energy at -22.720 eV per atom.

a = 7.9890 Å, b = 7.9890 Å, c = 4.4737 Å
α = 90.00°, β = 90.00°, γ = 90.00°
With the nearest neighbours (Å) after each atom.
Space group P4/mbm (No. 127)
One atom of each set of equivalent atoms:
Sr  0.1739  0.3261  0.0000 x4  6 Ag 3.18-3.30
Mg  0.0000  0.0000  0.5000 x2  4 Ag 3.16
Ag  0.1255  0.6255  0.5000 x4  1 Ag 2.84, 2 Mg 3.16

=====

(10)
Be2SbOs: PBEsol geometry, SCAN.

Summary:
As for the formation energy without anion corrections: 27 meV/atom. The value obtained for the density of states at the Fermi level is 0.85 states/eV per cell. The calculation puts the calculated total energy at -29.435 eV per atom.

a = 3.0759 Å, b = 3.0759 Å, c = 5.5888 Å
α = 90.00°, β = 90.00°, γ = 90.00°
With the nearest neighbours (Å) after each atom.
Space group P4/mmm (No. 123)
One atom of each set of equivalent atoms:
Be  0.0000  0.0000  0.1848 x2  1 Be 2.07
Sb  0.5000  0.5000  0.5000 x1  2 Os 2.79, 8 Be 2.80, 4 Sb 3.08
Os  0.5000  0.5000  0.0000 x1  8 Be 2.41

=====

(11)
SiPBr2: PBEsol geometry, SCAN.

Summary:
For the distance to the lowest polymorph of the same formula, the calculation gives 0.0 meV per atom. As for the formation energy without anion corrections: -140 meV/atom. The value obtained for the density of states at the Fermi level is 2.70 states/eV per cell. The calculation puts the calculated total energy at -14.973 eV per atom.

a = 6.7308 Å, b = 3.6618 Å, c = 8.0100 Å
α = 90.00°, β = 92.05°, γ = 90.00°
With the nearest neighbours (Å) after each atom.
Space group Cm (No. 8)
One atom of each set of equivalent atoms:
Si  0.0000  0.0000  0.0000 x2  1 Br 2.30, 3 P 2.32-2.56
P  0.1448  0.5000  0.8755 x2  3 Si 2.32-2.56, 1 Br 2.34
Br  0.1968  0.0000  0.2402 x2  1 Si 2.30
Br  0.4275  0.0000  0.6411 x2  1 P 2.34

=====

(12)
Cu2ReRu: PBEsol geometry, SCAN.

Summary:
For the distance to the lowest polymorph of the same formula, the calculation gives 0.0 meV per atom. The value obtained for the density of states at the Fermi level is 5.40 states/eV per cell. Its formation energy is 0.123 eV/atom. The calculation puts the calculated total energy at -33.957 eV per atom.

a = 2.6726 Å, b = 2.6726 Å, c = 25.3276 Å
α = 90.00°, β = 90.00°, γ = 120.00°
With the nearest neighbours (Å) after each atom.
Space group R3m (No. 160, hexagonal axes)
One atom of each set of equivalent atoms:
Cu  0.0000  0.0000  0.0000 x3  9 Cu 2.50-2.67, 3 Ru 2.67
Cu  0.0000  0.0000  0.2556 x3  9 Cu 2.50-2.67, 3 Re 2.70
Re  0.0000  0.0000  0.5015 x3  3 Ru 2.59, 6 Re 2.67, 3 Cu 2.70
Ru  0.0000  0.0000  0.7528 x3  3 Re 2.59, 3 Cu 2.67, 6 Ru 2.67

=====

(13)
RbLiCaNb2: PBEsol geometry, SCAN.

Summary:
The value obtained for the density of states at the Fermi level is 3.78 states/eV per cell. Its formation energy is 2.005 eV/atom. The calculation puts the calculated total energy at -17.805 eV per atom.

a = 5.0009 Å, b = 5.0009 Å, c = 6.0860 Å
α = 90.00°, β = 90.00°, γ = 90.00°
With the nearest neighbours (Å) after each atom.
Space group P4/mmm (No. 123)
One atom of each set of equivalent atoms:
Rb  0.0000  0.0000  0.0000 x1  2 Ca 3.04
Li  0.5000  0.5000  0.0000 x1  4 Rb 3.54, 8 Nb 3.94
Ca  0.0000  0.0000  0.5000 x1  4 Nb 2.50
Nb  0.0000  0.5000  0.5000 x2  2 Ca 2.50

=====

(14)
CrRuN2O: PBEsol geometry, SCAN.

Summary:
As for the formation energy without anion corrections: 407 meV/atom. The value obtained for the density of states at the Fermi level is 2.71 states/eV per cell. The calculation puts the calculated total energy at -15.198 eV per atom.

a = 3.7007 Å, b = 3.7007 Å, c = 3.5458 Å
α = 90.00°, β = 90.00°, γ = 90.00°
With the nearest neighbours (Å) after each atom.
Space group P4/mmm (No. 123)
One atom of each set of equivalent atoms:
Cr  0.0000  0.0000  0.0000 x1  2 O 1.77, 4 N 1.85
Ru  0.5000  0.5000  0.5000 x1  8 N 2.56, 4 O 2.62
N  0.0000  0.5000  0.0000 x2  2 Cr 1.85
O  0.0000  0.0000  0.5000 x1  2 Cr 1.77